NiHI2O: relaxed, PBE+U.

Output
Final energy   -2.243 eV per atom
V   18.408 A^3/atom
Space-group type   P4/mmm, No. 123
Density of states at the Fermi level   4.637 states/eV per cell

Lattice parameters (Å, degrees): 5.689 5.689 2.844 90.00 90.00 90.00
Sites, in units of the cell vectors:
O 0.000 0.000 0.500
H 0.000 0.000 0.000
Ni 0.500 0.500 0.500
I 0.500 0.000 0.000
I 0.000 0.500 0.000